Entry 1:
Below is a relaxed TiMnC3 crystal, with properties calculated at the PBE level.

## Properties
Energy ... -7.61 eV per atom
ΔH_f (0 K) ... 1.34 eV per atom
Crystal system ... cubic
ΔE to the lowest computed polymorph ... 0.0 meV/atom

abc: 3.6994 3.6994 3.6994
angles: 90.00 90.00 90.00
Space group Pm-3m (No. 221)
Symmetry-distinct sites (fractional):
Ti (0.0000, 0.0000, 0.0000)
Mn (0.5000, 0.5000, 0.5000)
C (0.0000, 0.5000, 0.5000)

Entry 2:
Below is a relaxed SnAsO crystal, with properties calculated at the PBE level.

## Properties
Energy ... -4.91 eV per atom
Crystal system ... trigonal
E_form (uncorrected) ... -0.370 eV per atom

abc: 3.3476 3.3476 6.4944
angles: 90.00 90.00 120.00
Space group P3m1 (No. 156)
Symmetry-distinct sites (fractional):
Sn (0.0000, 0.0000, 0.0000)
As (0.6667, 0.3333, 0.3184)
O (0.3333, 0.6667, 0.8453)

Entry 3:
Below is a relaxed BeOs crystal, with properties calculated at the PBE level.

## Properties
Energy ... -5.75 eV per atom
ΔH_f (0 K) ... 1.72 eV per atom
Crystal system ... cubic

abc: 4.9159 4.9159 4.9159
angles: 90.00 90.00 90.00
Space group F-43m (No. 216)
Symmetry-distinct sites (fractional):
Be (0.0000, 0.0000, 0.0000)
Os (0.2500, 0.2500, 0.2500)

Entry 4:
Below is a relaxed ZrVSbTe2 crystal, with properties calculated at the PBE level.

## Properties
Energy ... -5.21 eV per atom
Crystal system ... tetragonal
E_form (uncorrected) ... 0.407 eV per atom
ΔE to the lowest computed polymorph ... 0.0 meV/atom

abc: 5.2057 5.2057 5.1289
angles: 90.00 90.00 90.00
Space group P4/mmm (No. 123)
Symmetry-distinct sites (fractional):
Zr (0.0000, 0.0000, 0.0000)
V (0.5000, 0.5000, 0.5000)
Sb (0.5000, 0.5000, 0.0000)
Te (0.0000, 0.5000, 0.5000)

Entry 5:
Below is a relaxed CaHgMo crystal, with properties calculated at the PBE level.

## Properties
Energy ... -3.74 eV per atom
ΔH_f (0 K) ... 0.63 eV per atom
Crystal system ... trigonal
ΔE to the lowest computed polymorph ... 153.5 meV/atom

abc: 3.1346 3.1346 7.6421
angles: 90.00 90.00 120.00
Space group P3m1 (No. 156)
Symmetry-distinct sites (fractional):
Ca (0.0000, 0.0000, 0.0000)
Hg (0.3333, 0.6667, 0.3543)
Mo (0.6667, 0.3333, 0.6695)

Entry 6:
Below is a relaxed PmHoF4 crystal, with properties calculated at the PBE level.

## Properties
Energy ... -6.16 eV per atom
Crystal system ... tetragonal
E_form (uncorrected) ... -3.357 eV per atom

abc: 7.5518 7.5518 7.5882
angles: 90.00 90.00 90.00
Space group I4_1md (No. 109)
Symmetry-distinct sites (fractional):
Pm (0.0000, 0.0000, 0.0000)
Ho (0.0000, 0.0000, 0.4746)
F (0.0000, 0.2809, 0.5395)
F (0.0000, 0.3122, 0.9565)

Entry 7:
Below is a relaxed Sm7TmSc2 crystal, with properties calculated at the PBE level.

## Properties
Energy ... -4.40 eV per atom
ΔH_f (0 K) ... 0.62 eV per atom
Crystal system ... orthorhombic

abc: 8.9289 15.3113 5.5557
angles: 90.00 90.00 90.00
Space group Cmmm (No. 65)
Symmetry-distinct sites (fractional):
Sm (0.0000, 0.0000, 0.0000)
Sm (0.0000, 0.2555, 0.5000)
Sm (0.1825, 0.3800, 0.0000)
Tm (0.0000, 0.5000, 0.5000)
Sc (0.0000, 0.2044, 0.0000)

Entry 8:
Below is a relaxed NaAl2Ag2 crystal, with properties calculated at the PBE level.

## Properties
Energy ... -2.89 eV per atom
ΔH_f (0 K) ... 0.01 eV per atom
Crystal system ... tetragonal
ΔE to the lowest computed polymorph ... 97.0 meV/atom

abc: 4.0868 4.0868 12.5100
angles: 90.00 90.00 90.00
Space group I4/mmm (No. 139)
Symmetry-distinct sites (fractional):
Na (0.0000, 0.0000, 0.0000)
Al (0.0000, 0.5000, 0.2500)
Ag (0.0000, 0.0000, 0.3872)

Entry 9:
Below is a relaxed SrZrNb2Sn crystal, with properties calculated at the PBE level.

## Properties
Energy ... -4.86 eV per atom
ΔH_f (0 K) ... 2.01 eV per atom
Crystal system ... tetragonal

abc: 4.8475 4.8475 5.5887
angles: 90.00 90.00 90.00
Space group P4/mmm (No. 123)
Symmetry-distinct sites (fractional):
Sr (0.0000, 0.0000, 0.0000)
Zr (0.5000, 0.5000, 0.5000)
Nb (0.0000, 0.5000, 0.0000)
Sn (0.0000, 0.0000, 0.5000)

Entry 10:
Below is a relaxed CsY2Te2 crystal, with properties calculated at the PBE level.

## Properties
Energy ... -4.74 eV per atom
Crystal system ... tetragonal
E_form (uncorrected) ... -0.729 eV per atom

abc: 9.1436 9.1436 3.8644
angles: 90.00 90.00 90.00
Space group P4/mbm (No. 127)
Symmetry-distinct sites (fractional):
Cs (0.0000, 0.0000, 0.0000)
Y (0.1402, 0.3598, 0.5000)
Te (0.1409, 0.6409, 0.0000)

Entry 11:
Below is a relaxed NdSi2S6 crystal, with properties calculated at the PBE level.

## Properties
Energy ... -5.30 eV per atom
Crystal system ... monoclinic
E_form (uncorrected) ... -0.812 eV per atom

abc: 13.2181 10.9814 6.6039
angles: 90.00 109.83 90.00
Space group C2/c (No. 15)
Symmetry-distinct sites (fractional):
Nd (0.0000, 0.1525, 0.2500)
Si (0.2176, 0.4238, 0.2267)
S (0.1130, 0.0688, 0.6740)
S (0.1405, 0.4459, 0.4684)
S (0.1606, 0.2488, 0.1165)

Entry 12:
Below is a relaxed Ti3AlH crystal, with properties calculated at the PBE level.

## Properties
Energy ... -6.47 eV per atom
Crystal system ... orthorhombic

abc: 5.9083 7.7070 11.9081
angles: 90.00 90.00 90.00
Space group Fmmm (No. 69)
Symmetry-distinct sites (fractional):
Ti (0.0000, 0.2500, 0.2500)
Ti (0.2499, 0.0000, 0.1200)
Al (0.0000, 0.2500, 0.0000)
H (0.0000, 0.0000, 0.2502)

Entry 13:
Below is a relaxed ZrTe4Pt crystal, with properties calculated at the PBE level.

## Properties
Energy ... -3.82 eV per atom
Crystal system ... cubic
E_form (uncorrected) ... 0.705 eV per atom

abc: 8.5912 8.5912 8.5912
angles: 90.00 90.00 90.00
Space group F-43m (No. 216)
Symmetry-distinct sites (fractional):
Zr (0.0000, 0.0000, 0.0000)
Te (0.1247, 0.1247, 0.3753)
Pt (0.2500, 0.2500, 0.7500)

Entry 14:
Below is a relaxed TcHSe2 crystal, with properties calculated at the PBE level.

## Properties
Energy ... -5.18 eV per atom
Crystal system ... trigonal
ΔE to the lowest computed polymorph ... 176.9 meV/atom

abc: 3.7095 3.7095 18.9734
angles: 90.00 90.00 120.00
Space group R-3m (No. 166, hexagonal axes)
Symmetry-distinct sites (fractional):
Tc (0.0000, 0.0000, 0.0000)
H (0.0000, 0.0000, 0.5000)
Se (0.0000, 0.0000, 0.4068)

Entry 15:
Below is a relaxed TbSmInPb crystal, with properties calculated at the PBE level.

## Properties
Energy ... -4.42 eV per atom
ΔH_f (0 K) ... -0.47 eV per atom
Crystal system ... tetragonal
ΔE to the lowest computed polymorph ... 0.0 meV/atom

abc: 5.0202 5.0202 8.9411
angles: 90.00 90.00 90.00
Space group I-4m2 (No. 119)
Symmetry-distinct sites (fractional):
Tb (0.0000, 0.0000, 0.0000)
Sm (0.0000, 0.0000, 0.5000)
In (0.0000, 0.5000, 0.2500)
Pb (0.0000, 0.5000, 0.7500)

Entry 16:
Below is a relaxed Be2Fe2Tc crystal, with properties calculated at the PBE level.

## Properties
Energy ... -6.78 eV per atom
ΔH_f (0 K) ... 0.17 eV per atom
Crystal system ... tetragonal
ΔE to the lowest computed polymorph ... 269.0 meV/atom

abc: 6.4947 6.4947 2.4708
angles: 90.00 90.00 90.00
Space group P4/mbm (No. 127)
Symmetry-distinct sites (fractional):
Be (0.1765, 0.3235, 0.0000)
Fe (0.1181, 0.6181, 0.5000)
Tc (0.0000, 0.0000, 0.5000)

Entry 17:
Below is a relaxed RePd2S crystal, with properties calculated at the PBE level.

## Properties
Energy ... -6.29 eV per atom
Crystal system ... tetragonal
E_form (uncorrected) ... 0.451 eV per atom
ΔE to the lowest computed polymorph ... 0.0 meV/atom

abc: 7.0814 7.0814 4.9606
angles: 90.00 90.00 90.00
Space group I-42d (No. 122)
Symmetry-distinct sites (fractional):
Re (0.0000, 0.0000, 0.0000)
Pd (0.2139, 0.7500, 0.6250)
S (0.0000, 0.0000, 0.5000)

Entry 18:
Below is a relaxed ReAsIr2 crystal, with properties calculated at the PBE level.

## Properties
Energy ... -8.41 eV per atom
ΔH_f (0 K) ... 0.29 eV per atom
Crystal system ... tetragonal

abc: 3.8947 3.8947 7.8670
angles: 90.00 90.00 90.00
Space group I4/mmm (No. 139)
Symmetry-distinct sites (fractional):
Re (0.0000, 0.0000, 0.0000)
As (0.0000, 0.0000, 0.5000)
Ir (0.0000, 0.5000, 0.2500)

Entry 19:
Below is a relaxed Ho4Er5Zr2 crystal, with properties calculated at the PBE level.

## Properties
Energy ... -4.97 eV per atom
ΔH_f (0 K) ... 0.32 eV per atom
Crystal system ... orthorhombic

abc: 3.4018 10.8524 18.5787
angles: 90.00 90.00 90.00
Space group Immm (No. 71)
Symmetry-distinct sites (fractional):
Ho (0.0000, 0.0000, 0.0906)
Ho (0.0000, 0.2717, 0.5000)
Er (0.0000, 0.2816, 0.3222)
Er (0.0000, 0.5000, 0.0000)
Zr (0.0000, 0.0000, 0.2700)

Entry 20:
Below is a relaxed CdFeW2 crystal, with properties calculated at the PBE level.

## Properties
Energy ... -8.21 eV per atom
ΔH_f (0 K) ... 0.61 eV per atom
Crystal system ... tetragonal

abc: 4.1055 4.1055 7.5582
angles: 90.00 90.00 90.00
Space group I-4m2 (No. 119)
Symmetry-distinct sites (fractional):
Cd (0.0000, 0.0000, 0.0000)
Fe (0.0000, 0.5000, 0.7500)
W (0.0000, 0.0000, 0.5000)
W (0.0000, 0.5000, 0.2500)

Number 1: total magnetic moment 0.000 μB per atom. Number 2: total magnetic moment 0.000 μB per atom. Number 3: total magnetic moment 0.000 μB per atom. Number 4: total magnetic moment 0.613 μB per atom. Number 5: total magnetic moment 0.000 μB per atom. Number 6: total magnetic moment 0.000 μB per atom. Number 7: total magnetic moment 0.000 μB per atom. Number 8: total magnetic moment 0.000 μB per atom. Number 9: total magnetic moment 0.000 μB per atom. Number 10: total magnetic moment 0.000 μB per atom. Number 11: total magnetic moment 0.005 μB per atom. Number 12: total magnetic moment 0.000 μB per atom. Number 13: total magnetic moment 0.000 μB per atom. Number 14: total magnetic moment 0.475 μB per atom. Number 15: total magnetic moment 0.000 μB per atom. Number 16: total magnetic moment 0.000 μB per atom. Number 17: total magnetic moment 0.269 μB per atom. Number 18: total magnetic moment 0.000 μB per atom. Number 19: total magnetic moment 0.000 μB per atom. Number 20: total magnetic moment 0.608 μB per atom.